The following is a PBE calculation of a geometry-optimized Li8TiS6 structure, from Alexandria via LeMat-Bulk.

Structure (POSCAR):
```
Li8TiS6
1.0
6.901 0.000 0.000
-3.451 5.977 0.000
0.000 0.000 13.450
S Ti Li
12 2 16
direct
0.313 0.313 0.950
0.000 0.313 0.450
0.687 0.000 0.950
0.000 0.687 0.950
0.000 0.000 0.170
0.333 0.667 0.216
0.313 0.000 0.450
0.000 0.000 0.670
0.667 0.333 0.216
0.687 0.687 0.450
0.667 0.333 0.716
0.333 0.667 0.716
0.000 0.000 0.498
0.000 0.000 0.998
0.375 0.000 0.631
0.680 0.680 0.266
0.320 0.320 0.766
0.333 0.667 0.901
0.000 0.625 0.131
0.000 0.320 0.266
0.000 0.680 0.766
0.667 0.333 0.901
0.375 0.375 0.131
0.625 0.000 0.131
0.625 0.625 0.631
0.680 0.000 0.766
0.000 0.375 0.631
0.667 0.333 0.401
0.333 0.667 0.401
0.320 0.000 0.266
```

Summary:
total DFT energy (no corrections) = -135.714 eV/cell
ΔE_f (raw) = -1.326 eV/atom
space group = P6_3cm, No. 185
energy relative to the lowest polymorph listed for this composition = 0.0 kJ per mole of atoms